# 1
Below is ZnGeHAuSe after structural relaxation, with properties calculated at the PBE-GGA level. Values from VASP.

Calculated values
The space group is Cm.

Structure (Quantum ESPRESSO input):
```
&SYSTEM
  ibrav = 0, nat = 10, ntyp = 5
/
ATOMIC_SPECIES
Zn 65.41 Zn.upf
Ge 72.64 Ge.upf
H 1.01 H.upf
Au 196.97 Au.upf
Se 78.96 Se.upf
ATOMIC_POSITIONS angstrom
Zn 0.240 0.000 4.245
Zn 1.272 1.976 0.839
Ge 5.879 0.000 0.916
Ge 4.846 1.976 4.322
H 1.832 0.000 4.695
H 2.865 1.976 1.289
Au 3.558 0.000 5.223
Au 4.591 1.976 1.817
Se 0.056 0.000 1.745
Se -0.976 1.976 5.151
CELL_PARAMETERS angstrom
8.224 0.000 -0.085
0.000 3.952 0.000
-2.065 0.000 6.812
```

=====

# 2
Below is ZnGeHAuSe after structural relaxation, with properties calculated at the PBE-GGA level. Values from VASP.

Calculated values
The space group is Cm.

Structure (Quantum ESPRESSO input):
```
&SYSTEM
  ibrav = 0, nat = 10, ntyp = 5
/
ATOMIC_SPECIES
H 1.01 H.upf
Zn 65.41 Zn.upf
Au 196.97 Au.upf
Ge 72.64 Ge.upf
Se 78.96 Se.upf
ATOMIC_POSITIONS angstrom
H 0.783 0.000 8.745
H 2.559 2.046 3.058
Zn 0.594 0.000 1.439
Zn -1.181 2.046 7.126
Au 0.478 0.000 4.225
Au -1.297 2.046 9.911
Ge -1.950 0.000 8.417
Ge -0.175 2.046 2.730
Se 2.663 0.000 0.130
Se 0.887 2.046 5.817
CELL_PARAMETERS angstrom
4.267 0.000 0.010
0.000 4.093 0.000
-3.551 0.000 11.373
```

=====

# 3
Below is ZnGeHAuSe after structural relaxation, with properties calculated at the PBE-GGA level. Values from VASP.

Calculated values
The space group is P1.

Structure (Quantum ESPRESSO input):
```
&SYSTEM
  ibrav = 0, nat = 5, ntyp = 5
/
ATOMIC_SPECIES
Zn 65.41 Zn.upf
Ge 72.64 Ge.upf
H 1.01 H.upf
Au 196.97 Au.upf
Se 78.96 Se.upf
ATOMIC_POSITIONS angstrom
Zn 2.026 -3.847 0.678
Ge -0.024 -1.486 1.236
H 1.748 -4.452 -1.003
Au -2.317 -2.340 0.927
Se 0.284 -4.847 2.238
CELL_PARAMETERS angstrom
-4.272 -0.930 1.196
1.295 -2.985 -3.839
3.517 -1.991 3.838
```

=====

# 4
Below is ZnGeHAuSe after structural relaxation, with properties calculated at the PBE-GGA level. Values from VASP.

Calculated values
The space group is P1.

Structure (Quantum ESPRESSO input):
```
&SYSTEM
  ibrav = 0, nat = 5, ntyp = 5
/
ATOMIC_SPECIES
Zn 65.41 Zn.upf
Ge 72.64 Ge.upf
H 1.01 H.upf
Au 196.97 Au.upf
Se 78.96 Se.upf
ATOMIC_POSITIONS angstrom
Zn 0.965 3.504 0.403
Ge -1.350 2.554 0.401
H 0.505 -0.675 4.486
Au 1.690 0.077 3.611
Se -0.996 0.932 2.248
CELL_PARAMETERS angstrom
4.600 -0.013 -0.016
-2.159 4.296 0.011
-1.744 -0.976 5.350
```

=====

# 5
Below is ZnGeHAuSe after structural relaxation, with properties calculated at the PBE-GGA level. Values from VASP.

Calculated values
The space group is Pm.

Structure (Quantum ESPRESSO input):
```
&SYSTEM
  ibrav = 0, nat = 5, ntyp = 5
/
ATOMIC_SPECIES
H 1.01 H.upf
Zn 65.41 Zn.upf
Au 196.97 Au.upf
Ge 72.64 Ge.upf
Se 78.96 Se.upf
ATOMIC_POSITIONS angstrom
H 1.622 -0.529 1.616
Zn 0.129 3.663 2.275
Au 1.001 1.245 1.873
Ge -0.484 -2.424 2.542
Se -1.372 -0.050 3.009
CELL_PARAMETERS angstrom
-0.084 -4.256 2.802
3.430 0.973 1.580
-2.268 4.580 2.102
```

=====

# 6
Below is ZnGeHAuSe after structural relaxation, with properties calculated at the PBE-GGA level. Values from VASP.

Calculated values
The space group is P1.

Structure (Quantum ESPRESSO input):
```
&SYSTEM
  ibrav = 0, nat = 5, ntyp = 5
/
ATOMIC_SPECIES
Zn 65.41 Zn.upf
Ge 72.64 Ge.upf
H 1.01 H.upf
Au 196.97 Au.upf
Se 78.96 Se.upf
ATOMIC_POSITIONS angstrom
Zn -2.834 -4.049 -1.091
Ge -0.260 -1.129 1.279
H -1.757 -2.224 1.417
Au -2.952 -3.378 1.730
Se -0.717 -5.166 2.030
CELL_PARAMETERS angstrom
-4.072 0.034 0.140
-0.500 -4.579 -1.721
-0.470 -3.112 3.795
```

=====

# 7
Below is ZnGeHAuSe after structural relaxation, with properties calculated at the PBE-GGA level. Values from VASP.

Calculated values
The space group is Cm.

Structure (Quantum ESPRESSO input):
```
&SYSTEM
  ibrav = 0, nat = 5, ntyp = 5
/
ATOMIC_SPECIES
Zn 65.41 Zn.upf
Ge 72.64 Ge.upf
H 1.01 H.upf
Au 196.97 Au.upf
Se 78.96 Se.upf
ATOMIC_POSITIONS angstrom
Zn 1.271 2.760 0.983
Ge 3.588 5.101 2.374
H 0.652 4.240 1.842
Au 3.078 3.628 4.388
Se 0.573 6.781 3.335
CELL_PARAMETERS angstrom
4.378 0.106 0.101
0.277 5.074 0.098
0.234 2.561 4.388
```

=====

# 8
Below is ZnGeHAuSe after structural relaxation, with properties calculated at the PBE-GGA level. Values from VASP.

Calculated values
The space group is Imm2.

Structure (Quantum ESPRESSO input):
```
&SYSTEM
  ibrav = 0, nat = 10, ntyp = 5
/
ATOMIC_SPECIES
Zn 65.41 Zn.upf
Ge 72.64 Ge.upf
H 1.01 H.upf
Au 196.97 Au.upf
Se 78.96 Se.upf
ATOMIC_POSITIONS angstrom
Zn 0.000 0.000 1.744
Zn 2.137 1.564 8.844
Ge 0.000 1.564 4.958
Ge 2.137 0.000 12.058
H 0.000 1.564 2.525
H 2.137 0.000 9.625
Au 0.000 1.564 11.842
Au 2.137 0.000 4.743
Se 0.000 1.564 7.564
Se 2.137 0.000 0.464
CELL_PARAMETERS angstrom
4.274 0.000 0.000
0.000 3.127 0.000
0.000 0.000 14.200
```

=====

# 9
Below is ZnGeHAuSe after structural relaxation, with properties calculated at the PBE-GGA level. Values from VASP.

Calculated values
The space group is Amm2.

Structure (Quantum ESPRESSO input):
```
&SYSTEM
  ibrav = 0, nat = 10, ntyp = 5
/
ATOMIC_SPECIES
Zn 65.41 Zn.upf
Ge 72.64 Ge.upf
H 1.01 H.upf
Au 196.97 Au.upf
Se 78.96 Se.upf
ATOMIC_POSITIONS angstrom
Zn 0.000 0.000 1.935
Zn 0.000 1.955 8.633
Ge 1.723 0.000 5.057
Ge 1.723 1.955 11.756
H 1.723 0.000 2.234
H 1.723 1.955 8.932
Au 0.000 0.000 10.800
Au 0.000 1.955 4.101
Se 0.000 0.000 6.990
Se 0.000 1.955 0.292
CELL_PARAMETERS angstrom
3.446 0.000 0.000
0.000 3.910 0.000
0.000 0.000 13.397
```

=====

# 10
Below is TiGeH2Au after structural relaxation, with properties calculated at the PBE-GGA level. Values from VASP.

Calculated values
The space group is P4/mmm.

Structure (Quantum ESPRESSO input):
```
&SYSTEM
  ibrav = 0, nat = 5, ntyp = 4
/
ATOMIC_SPECIES
H 1.01 H.upf
Ge 72.64 Ge.upf
Au 196.97 Au.upf
Ti 47.87 Ti.upf
ATOMIC_POSITIONS angstrom
H 0.000 0.000 1.849
H 1.849 0.000 0.000
Ge 0.000 0.000 0.000
Au 0.000 2.763 0.000
Ti 1.849 2.763 1.849
CELL_PARAMETERS angstrom
3.698 0.000 0.000
0.000 5.527 0.000
0.000 0.000 3.698
```

=====

# 11
Below is TlGeHAu2 after structural relaxation, with properties calculated at the PBE-GGA level. Values from VASP.

Calculated values
The space group is P4/mmm.

Structure (Quantum ESPRESSO input):
```
&SYSTEM
  ibrav = 0, nat = 5, ntyp = 4
/
ATOMIC_SPECIES
H 1.01 H.upf
Tl 204.38 Tl.upf
Au 196.97 Au.upf
Ge 72.64 Ge.upf
ATOMIC_POSITIONS angstrom
H 0.000 0.000 1.787
Tl 2.593 2.593 1.787
Au 0.000 2.593 0.000
Au 2.593 0.000 0.000
Ge 0.000 0.000 0.000
CELL_PARAMETERS angstrom
5.187 0.000 0.000
0.000 5.187 0.000
0.000 0.000 3.573
```

=====

# 12
Below is YGeHAu2 after structural relaxation, with properties calculated at the PBE-GGA level. Values from VASP.

Calculated values
The space group is P4/mmm.

Structure (Quantum ESPRESSO input):
```
&SYSTEM
  ibrav = 0, nat = 5, ntyp = 4
/
ATOMIC_SPECIES
Y 88.91 Y.upf
H 1.01 H.upf
Ge 72.64 Ge.upf
Au 196.97 Au.upf
ATOMIC_POSITIONS angstrom
Y -3.404 -1.445 -1.057
H 0.000 0.000 0.000
Ge -0.634 -1.251 -2.038
Au -1.057 -1.364 1.166
Au -1.713 1.169 -0.185
CELL_PARAMETERS angstrom
-3.426 2.339 -0.370
-1.268 -2.501 -4.075
-2.114 -2.727 2.332
```

=====

| no. | total magnetization (μB/f.u.) | energy (eV per atom) |
| --- | --- | --- |
| 1 | 0.0 | -3.31 |
| 2 | 0.0 | -3.22 |
| 3 | 0.0 | -3.22 |
| 4 | 0.0 | -3.17 |
| 5 | 0.0 | -3.20 |
| 6 | 0.0 | -3.16 |
| 7 | 0.0 | -3.20 |
| 8 | 0.0 | -3.19 |
| 9 | 0.0 | -3.17 |
| 10 | 0.0 | -4.01 |
| 11 | 0.0 | -3.26 |
| 12 | 0.0 | -4.40 |